Material: Mn2CuAs2
Method: DFT, GGA-PBE
State: optimized geometry

Properties
formation enthalpy at 0 K = 0.29 eV per formula unit

abc: 6.7619 6.7619 3.1949
angles: 90.00 90.00 90.00
Last column: nearest neighbours and their distance in Å.
Element x y z (fractional)
1 As 0.1600 0.6600 0.5000  6 Mn 2.52-2.57
2 As 0.6600 0.8400 0.5000  6 Mn 2.52-2.57
3 As 0.8400 0.3400 0.5000  6 Mn 2.52-2.57
4 As 0.3400 0.1600 0.5000  6 Mn 2.52-2.57
5 Mn 0.3637 0.8637 0.0000  6 As 2.52-2.57, 1 Mn 2.61, 2 Cu 2.63
6 Mn 0.8637 0.6363 0.0000  6 As 2.52-2.57, 1 Mn 2.61, 2 Cu 2.63
7 Mn 0.6363 0.1363 0.0000  6 As 2.52-2.57, 1 Mn 2.61, 2 Cu 2.63
8 Mn 0.1363 0.3637 0.0000  6 As 2.52-2.57, 1 Mn 2.61, 2 Cu 2.63
9 Cu 0.0000 0.0000 0.0000  4 Mn 2.63
10 Cu 0.5000 0.5000 0.0000  4 Mn 2.63